A plane-wave DFT calculation with PBE was carried out for a relaxed K3TaS4 crystal.

a b c (Å): 9.372 10.866 9.612
angles (deg): 90.00 90.00 90.00
Sites, in units of the cell vectors:
K  0.060  0.045  0.213
K  0.060  0.455  0.213
K  0.133  0.750  0.426
K  0.367  0.250  0.926
K  0.440  0.545  0.713
K  0.440  0.955  0.713
K  0.560  0.045  0.287
K  0.560  0.455  0.287
K  0.633  0.750  0.074
K  0.867  0.250  0.574
K  0.940  0.545  0.787
K  0.940  0.955  0.787
Ta  0.213  0.750  0.988
Ta  0.287  0.250  0.488
Ta  0.713  0.750  0.512
Ta  0.787  0.250  0.012
S  0.008  0.250  0.911
S  0.166  0.076  0.552
S  0.166  0.424  0.552
S  0.189  0.750  0.751
S  0.311  0.250  0.251
S  0.334  0.576  0.052
S  0.334  0.924  0.052
S  0.492  0.750  0.411
S  0.508  0.250  0.589
S  0.666  0.076  0.948
S  0.666  0.424  0.948
S  0.689  0.750  0.749
S  0.811  0.250  0.249
S  0.834  0.576  0.448
S  0.834  0.924  0.448
S  0.992  0.750  0.089

Properties
- Uncorrected formation energy: -1.2804 eV/atom
- Size of the total moment: 0.00 μB per cell
- Space-group type: No. 62